## Rb2SrSnCl6 (PBE)

Data for an optimized crystal structure of Rb2SrSnCl6.

Results
total energy = -74.29 eV per cell
uncorrected formation energy = -1.845 eV per atom
polymorph energy (0 for the lowest one) = 0.00 eV per formula unit

a b c (Å): 7.6902 8.0265 13.4187
angles (deg): 90.00 124.64 90.00
With the nearest neighbours (Å) after each atom.
Space group P2_1/c (No. 14)
Symmetry-distinct sites (fractional):
Rb 0.2282 0.0645 0.2494  6 Cl 3.32-3.58
Sr 0.5000 0.0000 0.0000  6 Cl 2.90-2.91
Sn 0.0000 0.0000 0.5000  6 Cl 2.86-2.87
Cl 0.1452 0.2049 0.9471  1 Sn 2.87, 1 Sr 2.91
Cl 0.2457 0.7023 0.9473  1 Sn 2.87, 1 Sr 2.91
Cl 0.3490 0.0326 0.7479  1 Sn 2.86, 1 Sr 2.90

---

## MnFeBr2 (PBE)

Data for an optimized crystal structure of MnFeBr2.

Results
total energy = -38.37 eV per cell
uncorrected formation energy = 0.449 eV per atom
polymorph energy (0 for the lowest one) = 2.00 eV per formula unit

a b c (Å): 3.7093 3.7093 12.3141
angles (deg): 90.00 90.00 90.00
With the nearest neighbours (Å) after each atom.
Space group I-4m2 (No. 119)
Symmetry-distinct sites (fractional):
Mn 0.0000 0.0000 0.0000  4 Br 2.62
Fe 0.0000 0.5000 0.2500  4 Br 2.62
Br 0.0000 0.0000 0.5000  4 Mn 2.62
Br 0.0000 0.5000 0.7500  4 Fe 2.62

---

## KLa2Pb9 (PBE)

Data for an optimized crystal structure of KLa2Pb9.

Results
total energy = -48.18 eV per cell
formation energy from the elements = -3.85 eV/f.u.

a b c (Å): 4.9700 4.9700 15.0679
angles (deg): 90.00 90.00 90.00
With the nearest neighbours (Å) after each atom.
Space group P4/mmm (No. 123)
Symmetry-distinct sites (fractional):
K 0.0000 0.0000 0.0000  12 Pb 3.51-3.55
La 0.0000 0.0000 0.3387  12 Pb 3.48-3.58
Pb 0.0000 0.5000 0.1681  8 Pb 3.51-3.55, 2 K 3.55, 2 La 3.58
Pb 0.0000 0.5000 0.5000  4 La 3.48, 8 Pb 3.51-3.54
Pb 0.5000 0.5000 0.0000  4 K 3.51, 8 Pb 3.55
Pb 0.5000 0.5000 0.3324  8 Pb 3.51-3.54, 4 La 3.52

---

Total magnetic moment list, top to bottom, in μB/atom: 0.00 1.82 0.00